(1)
# K3BrCl2 (meta-GGA SCAN, single point on PBEsol structure)
# Space group   P-3m1
# E_form (uncorrected)   -2.1020 eV/atom
# N(E_F)   0.0 states/eV/cell
# Final energy   -73.01 eV/cell
data_K3BrCl2
_chemical_formula_sum 'K3 Br1 Cl2'
_cell_length_a 4.474
_cell_length_b 4.474
_cell_length_c 11.024
_cell_angle_alpha 90.00
_cell_angle_beta 90.00
_cell_angle_gamma 120.00
_space_group_name_H-M_alt 'P 1'
_space_group_IT_number 1
_space_group_name_Hall 'P 1'
loop_
_atom_site_label
_atom_site_type_symbol
_atom_site_fract_x
_atom_site_fract_y
_atom_site_fract_z
Br1 Br 0.000 0.000 0.000
K1 K 0.667 0.333 0.822
K2 K 0.333 0.667 0.178
K3 K 0.000 0.000 0.500
Cl1 Cl 0.333 0.667 0.661
Cl2 Cl 0.667 0.333 0.339

(2)
# K5BrCl4 (meta-GGA SCAN, single point on PBEsol structure)
# Space group   R-3m
# E_form (uncorrected)   -2.1336 eV/atom
# N(E_F)   0.0 states/eV/cell
# Final energy   -114.35 eV/cell
data_K5BrCl4
_chemical_formula_sum 'K5 Br1 Cl4'
_cell_length_a 4.451
_cell_length_b 4.451
_cell_length_c 18.391
_cell_angle_alpha 83.05
_cell_angle_beta 83.05
_cell_angle_gamma 60.00
_space_group_name_H-M_alt 'P 1'
_space_group_IT_number 1
_space_group_name_Hall 'P 1'
loop_
_atom_site_label
_atom_site_type_symbol
_atom_site_fract_x
_atom_site_fract_y
_atom_site_fract_z
K1 K 0.703 0.703 0.892
K2 K 0.297 0.297 0.108
K3 K 0.101 0.101 0.696
K4 K 0.899 0.899 0.304
K5 K 0.500 0.500 0.500
Cl1 Cl 0.598 0.598 0.206
Cl2 Cl 0.402 0.402 0.794
Cl3 Cl 0.801 0.801 0.598
Cl4 Cl 0.199 0.199 0.402
Br1 Br 0.000 0.000 0.000

(3)
# K2BrCl (meta-GGA SCAN, single point on PBEsol structure)
# Space group   Amm2
# E_form (uncorrected)   -2.0132 eV/atom
# N(E_F)   0.0 states/eV/cell
# Final energy   -52.15 eV/cell
# Offset from the most stable computed form   0.200 eV per formula unit
data_K2BrCl
_chemical_formula_sum 'K2 Br1 Cl1'
_cell_length_a 4.030
_cell_length_b 5.007
_cell_length_c 6.370
_cell_angle_alpha 90.00
_cell_angle_beta 108.44
_cell_angle_gamma 90.00
_space_group_name_H-M_alt 'P 1'
_space_group_IT_number 1
_space_group_name_Hall 'P 1'
loop_
_atom_site_label
_atom_site_type_symbol
_atom_site_fract_x
_atom_site_fract_y
_atom_site_fract_z
K1 K 0.004 0.500 0.008
K2 K 0.242 0.000 0.483
Cl1 Cl 0.747 0.500 0.494
Br1 Br 0.507 0.000 0.014

The lowest E_form (uncorrected) belongs to which entry? K5BrCl4

What is the E_form (uncorrected) in the third record? -2.0132 eV/atom

Which value of N(E_F) does entry 3 give? 0.0 states/eV/cell

Repeat the third record exactly.
# K2BrCl (meta-GGA SCAN, single point on PBEsol structure)
# Space group   Amm2
# E_form (uncorrected)   -2.0132 eV/atom
# N(E_F)   0.0 states/eV/cell
# Final energy   -52.15 eV/cell
# Offset from the most stable computed form   0.200 eV per formula unit
data_K2BrCl
_chemical_formula_sum 'K2 Br1 Cl1'
_cell_length_a 4.030
_cell_length_b 5.007
_cell_length_c 6.370
_cell_angle_alpha 90.00
_cell_angle_beta 108.44
_cell_angle_gamma 90.00
_space_group_name_H-M_alt 'P 1'
_space_group_IT_number 1
_space_group_name_Hall 'P 1'
loop_
_atom_site_label
_atom_site_type_symbol
_atom_site_fract_x
_atom_site_fract_y
_atom_site_fract_z
K1 K 0.004 0.500 0.008
K2 K 0.242 0.000 0.483
Cl1 Cl 0.747 0.500 0.494
Br1 Br 0.507 0.000 0.014